No. 1
Here is an optimized crystal structure of NpH4Rh from Alexandria. Energies are from PBE-GGA.

## Properties
The raw total energy is -5.826 eV per atom. The space-group type is No. 63.

The structure in extended XYZ format:
```
12
Lattice="3.747 0.000 0.000 0.000 4.935 0.000 -1.873 0.000 6.027" Properties=species:S:1:pos:R:3 pbc="T T T"
H 1.873 4.853 3.613
H 0.000 2.385 2.414
H 0.000 0.000 0.000
H 0.000 2.467 0.000
H 1.873 3.701 1.132
H 0.000 0.082 2.414
H 1.873 2.549 3.613
H 0.000 1.234 4.895
Np 1.873 1.234 1.624
Np 0.000 3.701 4.403
Rh 0.000 3.701 1.229
Rh 1.873 1.234 4.798
```

=====

No. 2
Here is an optimized crystal structure of YEr2Ag3S6 from Alexandria. Energies are from PBE-GGA.

## Properties
Its energy relative to the elements, uncorrected is -1.307 eV per atom. The space-group type is No. 12.

The structure in extended XYZ format:
```
12
Lattice="-2.928 -2.452 -1.246 -0.826 -3.539 8.903 -3.386 7.258 0.148" Properties=species:S:1:pos:R:3 pbc="T T T"
Y -1.464 -1.226 -0.623
S -0.771 -2.735 7.193
S -3.774 0.797 7.299
S -6.368 4.002 0.612
S -3.365 0.470 0.506
S -3.416 -1.164 3.840
S -3.723 2.431 3.965
Ag -2.480 -1.187 8.161
Ag -1.877 -2.995 3.829
Ag -4.660 2.454 -0.356
Er -1.884 0.813 2.826
Er -5.255 0.454 4.979
```

=====

Copy entry 1 word for word.
Here is an optimized crystal structure of NpH4Rh from Alexandria. Energies are from PBE-GGA.

## Properties
The raw total energy is -5.826 eV per atom. The space-group type is No. 63.

The structure in extended XYZ format:
```
12
Lattice="3.747 0.000 0.000 0.000 4.935 0.000 -1.873 0.000 6.027" Properties=species:S:1:pos:R:3 pbc="T T T"
H 1.873 4.853 3.613
H 0.000 2.385 2.414
H 0.000 0.000 0.000
H 0.000 2.467 0.000
H 1.873 3.701 1.132
H 0.000 0.082 2.414
H 1.873 2.549 3.613
H 0.000 1.234 4.895
Np 1.873 1.234 1.624
Np 0.000 3.701 4.403
Rh 0.000 3.701 1.229
Rh 1.873 1.234 4.798
```

=====

Repeat the first record exactly.
Here is an optimized crystal structure of NpH4Rh from Alexandria. Energies are from PBE-GGA.

## Properties
The raw total energy is -5.826 eV per atom. The space-group type is No. 63.

The structure in extended XYZ format:
```
12
Lattice="3.747 0.000 0.000 0.000 4.935 0.000 -1.873 0.000 6.027" Properties=species:S:1:pos:R:3 pbc="T T T"
H 1.873 4.853 3.613
H 0.000 2.385 2.414
H 0.000 0.000 0.000
H 0.000 2.467 0.000
H 1.873 3.701 1.132
H 0.000 0.082 2.414
H 1.873 2.549 3.613
H 0.000 1.234 4.895
Np 1.873 1.234 1.624
Np 0.000 3.701 4.403
Rh 0.000 3.701 1.229
Rh 1.873 1.234 4.798
```

=====

Please write out number 2 again, unchanged.
Here is an optimized crystal structure of YEr2Ag3S6 from Alexandria. Energies are from PBE-GGA.

## Properties
Its energy relative to the elements, uncorrected is -1.307 eV per atom. The space-group type is No. 12.

The structure in extended XYZ format:
```
12
Lattice="-2.928 -2.452 -1.246 -0.826 -3.539 8.903 -3.386 7.258 0.148" Properties=species:S:1:pos:R:3 pbc="T T T"
Y -1.464 -1.226 -0.623
S -0.771 -2.735 7.193
S -3.774 0.797 7.299
S -6.368 4.002 0.612
S -3.365 0.470 0.506
S -3.416 -1.164 3.840
S -3.723 2.431 3.965
Ag -2.480 -1.187 8.161
Ag -1.877 -2.995 3.829
Ag -4.660 2.454 -0.356
Er -1.884 0.813 2.826
Er -5.255 0.454 4.979
```